(1)
Density functional theory data (PBE-GGA) for a relaxed PbAuO2 crystal.

Geometry as POSCAR:
```
PbAuO2
1.0
3.666 0.000 0.000
-1.833 3.175 0.000
0.000 0.000 18.776
Pb Au O
3 3 6
Direct
0.000 0.000 0.000
0.333 0.667 0.667
0.667 0.333 0.333
0.000 0.000 0.500
0.333 0.667 0.167
0.667 0.333 0.833
0.000 0.000 0.393
0.000 0.000 0.607
0.333 0.667 0.060
0.333 0.667 0.274
0.667 0.333 0.726
0.667 0.333 0.940
```

Computed properties:
Symmetry: R-3m
ΔE_f (raw) in kJ/mol of formula units: -227


(2)
Density functional theory data (PBE-GGA) for a relaxed LaAuO2F crystal.

Geometry as POSCAR:
```
LaAuO2F
1.0
4.182 0.000 0.000
0.000 4.182 0.000
0.000 0.000 4.525
La Au O F
1 1 2 1
Direct
0.000 0.000 0.000
0.500 0.500 0.500
0.000 0.500 0.500
0.500 0.000 0.500
0.500 0.500 0.000
```

Computed properties:
Symmetry: P4/mmm
ΔE_f (raw) in kJ/mol of formula units: -674


(3)
Density functional theory data (PBE-GGA) for a relaxed Pr4HOsBr2 crystal.

Geometry as POSCAR:
```
Pr4HOsBr2
1.0
6.777 0.000 0.000
0.000 4.076 0.000
-2.355 0.000 7.858
Pr H Os Br
4 1 1 2
Direct
0.229 0.000 0.199
0.257 0.500 0.804
0.743 0.500 0.196
0.771 0.000 0.801
0.000 0.500 0.000
0.500 0.000 0.000
0.000 0.000 0.500
0.500 0.500 0.500
```

Computed properties:
Symmetry: P2/m


(4)
Density functional theory data (PBE-GGA) for a relaxed BeIN crystal.

Geometry as POSCAR:
```
BeIN
1.0
3.139 0.000 0.000
-1.567 2.726 0.000
-0.093 -0.689 5.189
Be I N
1 1 1
Direct
0.000 0.000 0.000
0.333 0.665 0.500
0.333 0.665 0.999
```

Computed properties:
Symmetry: P1
E above lowest polymorph in meV per atom: 17
ΔE_f (raw) in kJ/mol of formula units: 87


| no. | raw total energy (eV/atom) | total moment (μB/cell) |
| --- | --- | --- |
| 1 | -4.815 | 0.0 |
| 2 | -5.397 | 0.3 |
| 3 | -5.357 | 0.0 |
| 4 | -4.235 | 0.0 |